This record from Alexandria describes crystalline RbAl2Fe at its relaxed geometry. The functional is GGA-PBE.

Calculated values
- Calculated total energy: -58.84 eV per cell
- Energy relative to the lowest polymorph listed for this composition: 0.0000 eV/atom
- ΔE_f: 0.55 eV per atom

Cell lengths 6.037, 6.037, 14.179 Å; angles 90.00, 90.00, 90.00 degrees
Space group I4_1/amd (No. 141, origin choice 2)
Unique sites:
Rb (0.000, 0.250, 0.375)
Al (0.000, 0.000, 0.000)
Fe (0.000, 0.250, 0.875)